Density functional theory data (GGA+U) for a geometry-optimized TaWO2F structure.

Fermi-level density of states: 1.7 states/eV/cell
total energy: -7.32 eV/atom
magnetization: 4.57 μB/f.u.

Lattice parameters (Å, degrees): 4.022 4.022 4.293 90.00 90.00 90.00
Space group P4/mmm (No. 123)
Symmetry-distinct sites (fractional):
Ta  0.000  0.000  0.000
W  0.500  0.500  0.500
O  0.000  0.500  0.000
F  0.000  0.000  0.500